Record 1
Below is crystalline TbPaOs2 at its relaxed geometry, with properties calculated at the PBE-GGA level.

The space group is P2/c (No. 13) and the conventional cell measures 5.792, 5.943 and 10.834 Å, with angles of 90.00, 109.80 and 90.00 degrees. The distinct sites, in fractional coordinates, are Tb at (0.194, 0.142, 0.149), Pa at (0.312, 0.357, 0.854), Os at (0.144, 0.365, 0.600) and Os at (0.366, 0.170, 0.445).

The energy of formation comes out at -0.23 eV/atom.

Record 2
Below is crystalline TbPaTeOs at its relaxed geometry, with properties calculated at the PBE-GGA level.

The space group is R3m (No. 160, hexagonal axes) and the conventional cell measures 4.0674, 4.0674 and 22.4394 Å, with angles of 90.00, 90.00 and 120.00 degrees. The distinct sites, in fractional coordinates, are Tb at (0.0000, 0.0000, 0.0000), Pa at (0.0000, 0.0000, 0.1985), Te at (0.0000, 0.0000, 0.7659) and Os at (0.0000, 0.0000, 0.5910).

Its uncorrected formation energy is -264 kJ/mol of formula units.

Record 3
Below is crystalline TbPaZnOs at its relaxed geometry, with properties calculated at the PBE-GGA level.

The space group is F-43m (No. 216) and the conventional cell measures 6.968, 6.968 and 6.968 Å, with angles of 90.00, 90.00 and 90.00 degrees. The distinct sites, in fractional coordinates, are Tb at (0.000, 0.000, 0.000), Pa at (0.000, 0.000, 0.500), Zn at (0.250, 0.250, 0.250) and Os at (0.250, 0.250, 0.750).

The energy of formation comes out at -0.15 eV/atom.

Record 4
Below is crystalline PaTc2Os at its relaxed geometry, with properties calculated at the PBE-GGA level.

The space group is P4/mmm (No. 123) and the conventional cell measures 3.411, 3.411 and 5.882 Å, with angles of 90.00, 90.00 and 90.00 degrees. The distinct sites, in fractional coordinates, are Pa at (0.000, 0.000, 0.000), Tc at (0.500, 0.500, 0.261) and Os at (0.000, 0.000, 0.500).

The energy of formation comes out at 0.27 eV/atom.

Record 5
Below is crystalline PaTcOs2 at its relaxed geometry, with properties calculated at the PBE-GGA level.

The space group is P4/mmm (No. 123) and the conventional cell measures 4.076, 4.076 and 4.087 Å, with angles of 90.00, 90.00 and 90.00 degrees. The distinct sites, in fractional coordinates, are Pa at (0.000, 0.000, 0.000), Tc at (0.500, 0.500, 0.000) and Os at (0.000, 0.500, 0.500).

The energy of formation comes out at -0.09 eV/atom.

Record 6
Below is crystalline PaTcOs2 at its relaxed geometry, with properties calculated at the PBE-GGA level.

The space group is R-3m (No. 166, hexagonal axes) and the conventional cell measures 4.5150, 4.5150 and 13.7082 Å, with angles of 90.00, 90.00 and 120.00 degrees. The distinct sites, in fractional coordinates, are Pa at (0.0000, 0.0000, 0.0000), Tc at (0.0000, 0.0000, 0.5000) and Os at (0.0000, 0.0000, 0.1904).

The energy of formation comes out at 0.18 eV/atom.

Record 7
Below is crystalline Pa4TcOs at its relaxed geometry, with properties calculated at the PBE-GGA level.

The space group is I4_1md (No. 109) and the conventional cell measures 8.753, 8.753 and 8.650 Å, with angles of 90.00, 90.00 and 90.00 degrees. The distinct sites, in fractional coordinates, are Pa at (0.000, 0.195, 0.000), Pa at (0.000, 0.198, 0.496), Tc at (0.000, 0.000, 0.250) and Os at (0.000, 0.000, 0.746).

The energy of formation comes out at 0.23 eV/atom.

Record 8
Below is crystalline PaTc2Os at its relaxed geometry, with properties calculated at the PBE-GGA level.

The space group is R-3m (No. 166, hexagonal axes) and the conventional cell measures 4.6230, 4.6230 and 11.2929 Å, with angles of 90.00, 90.00 and 120.00 degrees. The distinct sites, in fractional coordinates, are Pa at (0.0000, 0.0000, 0.0000), Tc at (0.0000, 0.0000, 0.2225) and Os at (0.0000, 0.0000, 0.5000).

The energy of formation comes out at 0.13 eV/atom.

What E_tot values result from the calculations? In sequence: -9.38 -7.81 -6.80 -10.10 -10.67 -10.40 -9.70 -10.24 eV/atom.